Entry from Alexandria: a relaxed structure of Mg2Ag7Au2 (GGA-PBE).

a = 7.0879 Å, b = 5.4412 Å, c = 5.4412 Å
α = 91.95°, β = 97.67°, γ = 97.67°
Closest atoms and distances in Å follow each position.
Fractional positions:
1 Mg 0.9241 0.1721 0.1721  4 Au 2.80-2.88, 6 Ag 2.82-3.04, 1 Mg 3.00
2 Mg 0.0759 0.8279 0.8279  4 Au 2.80-2.88, 6 Ag 2.82-3.04, 1 Mg 3.00
3 Ag 0.6950 0.9137 0.5437  6 Ag 2.82-3.05, 2 Au 2.83-3.02, 2 Mg 3.03
4 Ag 0.3050 0.4563 0.0863  6 Ag 2.82-3.05, 2 Au 2.83-3.02, 2 Mg 3.03
5 Ag 0.3050 0.0863 0.4563  6 Ag 2.82-3.05, 2 Au 2.83-3.02, 2 Mg 3.03
6 Ag 0.6950 0.5437 0.9137  6 Ag 2.82-3.05, 2 Au 2.83-3.02, 2 Mg 3.03
7 Ag 0.5000 0.0000 0.0000  10 Ag 2.98-3.17, 2 Mg 3.04
8 Ag 0.3504 0.6034 0.6034  1 Mg 2.82, 8 Ag 2.82-2.98, 2 Au 2.90
9 Ag 0.6496 0.3966 0.3966  1 Mg 2.82, 8 Ag 2.82-2.98, 2 Au 2.90
10 Au 0.0000 0.3028 0.6972  4 Mg 2.80-2.88, 6 Ag 2.83-3.02, 1 Au 3.09
11 Au 0.0000 0.6972 0.3028  4 Mg 2.80-2.88, 6 Ag 2.83-3.02, 1 Au 3.09

Output
Formation energy, eV per atom: -0.12
Total moment, Bohr magnetons per cell: 0.00
DFT total energy, eV/atom: -2.821
Space-group type: C2/m, No. 12